1.
This record from the Alexandria database describes crystalline Pr6Si2Te3Br at its relaxed geometry. The functional is GGA-PBE.

Cell: 9.969 9.969 8.996 Å, 103.15 103.15 25.40°
Sites, in units of the cell vectors:
Pr 0.016 0.016 0.264
Pr 0.327 0.327 0.431
Pr 0.327 0.327 0.884
Pr 0.673 0.673 0.116
Pr 0.673 0.673 0.569
Pr 0.984 0.984 0.736
Si 0.169 0.169 0.335
Si 0.831 0.831 0.665
Te 0.159 0.159 0.837
Te 0.500 0.500 0.500
Te 0.841 0.841 0.163
Br 0.500 0.500 0.000

Properties
- D(E_F) (states/eV per cell) = 4.46
- size of the total moment (μB per cell) = 0.00
- volume (Å³/f.u.) = 372.9
- calculated total energy (eV/atom) = -5.45
- raw formation energy (eV per atom) = -1.231

***

2.
This record from the Alexandria database describes crystalline Pr6TlSi2Br3 at its relaxed geometry. The functional is GGA-PBE.

Cell: 9.938 9.938 9.029 Å, 103.38 103.38 25.06°
Sites, in units of the cell vectors:
Pr 0.012 0.012 0.257
Pr 0.324 0.324 0.433
Pr 0.333 0.333 0.882
Pr 0.667 0.667 0.118
Pr 0.676 0.676 0.567
Pr 0.988 0.988 0.743
Tl 0.500 0.500 0.000
Si 0.168 0.168 0.339
Si 0.832 0.832 0.661
Br 0.167 0.167 0.834
Br 0.500 0.500 0.500
Br 0.833 0.833 0.166

Properties
- D(E_F) (states/eV per cell) = 6.12
- size of the total moment (μB per cell) = 0.00
- volume (Å³/f.u.) = 367.0
- calculated total energy (eV/atom) = -4.87
- raw formation energy (eV per atom) = -0.963

***

3.
This record from the Alexandria database describes crystalline Pr8ZnSi3Br4 at its relaxed geometry. The functional is GGA-PBE.

Cell: 8.868 8.868 8.868 Å, 58.02 58.02 58.02°
Sites, in units of the cell vectors:
Pr 0.235 0.742 0.742
Pr 0.238 0.238 0.238
Pr 0.258 0.258 0.765
Pr 0.258 0.765 0.258
Pr 0.742 0.235 0.742
Pr 0.742 0.742 0.235
Pr 0.762 0.762 0.762
Pr 0.765 0.258 0.258
Zn 0.500 0.500 0.500
Si 0.000 0.000 0.500
Si 0.000 0.500 0.000
Si 0.500 0.000 0.000
Br 0.000 0.000 0.000
Br 0.000 0.500 0.500
Br 0.500 0.000 0.500
Br 0.500 0.500 0.000

Properties
- D(E_F) (states/eV per cell) = 8.06
- size of the total moment (μB per cell) = 0.00
- volume (Å³/f.u.) = 470.7
- calculated total energy (eV/atom) = -4.88
- raw formation energy (eV per atom) = -0.978

***

4.
This record from the Alexandria database describes crystalline Pr4ZnSiBr2 at its relaxed geometry. The functional is GGA-PBE.

Cell: 7.533 4.258 7.672 Å, 90.00 108.19 90.00°
Sites, in units of the cell vectors:
Pr 0.234 0.000 0.221
Pr 0.255 0.500 0.774
Pr 0.745 0.500 0.226
Pr 0.766 0.000 0.779
Zn 0.500 0.000 0.000
Si 0.000 0.500 0.000
Br 0.000 0.000 0.500
Br 0.500 0.500 0.500

Properties
- D(E_F) (states/eV per cell) = 4.34
- size of the total moment (μB per cell) = 0.00
- volume (Å³/f.u.) = 233.8
- calculated total energy (eV/atom) = -4.53
- raw formation energy (eV per atom) = -0.883

***

5.
This record from the Alexandria database describes crystalline Pr8Zn3SiBr4 at its relaxed geometry. The functional is GGA-PBE.

Cell: 8.845 8.845 8.845 Å, 57.90 57.90 57.90°
Sites, in units of the cell vectors:
Pr 0.245 0.245 0.245
Pr 0.248 0.740 0.740
Pr 0.260 0.260 0.752
Pr 0.260 0.752 0.260
Pr 0.740 0.248 0.740
Pr 0.740 0.740 0.248
Pr 0.752 0.260 0.260
Pr 0.755 0.755 0.755
Zn 0.000 0.000 0.500
Zn 0.000 0.500 0.000
Zn 0.500 0.000 0.000
Si 0.500 0.500 0.500
Br 0.000 0.000 0.000
Br 0.000 0.500 0.500
Br 0.500 0.000 0.500
Br 0.500 0.500 0.000

Properties
- D(E_F) (states/eV per cell) = 13.56
- size of the total moment (μB per cell) = 0.00
- volume (Å³/f.u.) = 465.6
- calculated total energy (eV/atom) = -4.18
- raw formation energy (eV per atom) = -0.791

***

6.
This record from the Alexandria database describes crystalline PrSm2Br8 at its relaxed geometry. The functional is GGA-PBE.

Cell: 9.241 9.241 6.287 Å, 91.18 91.18 70.85°
Sites, in units of the cell vectors:
Pr 0.000 0.000 0.000
Sm 0.200 0.200 0.676
Sm 0.800 0.800 0.324
Br 0.115 0.714 0.255
Br 0.182 0.182 0.221
Br 0.286 0.885 0.745
Br 0.374 0.374 0.765
Br 0.626 0.626 0.235
Br 0.714 0.115 0.255
Br 0.818 0.818 0.779
Br 0.885 0.286 0.745

Properties
- D(E_F) (states/eV per cell) = 0.22
- size of the total moment (μB per cell) = 1.02
- volume (Å³/f.u.) = 507.0
- calculated total energy (eV/atom) = -4.16
- raw formation energy (eV per atom) = -1.647

***

7.
This record from the Alexandria database describes crystalline Pr2SmBr6 at its relaxed geometry. The functional is GGA-PBE.

Cell: 7.844 7.844 12.349 Å, 114.97 114.97 28.45°
Sites, in units of the cell vectors:
Pr 0.180 0.180 0.306
Pr 0.820 0.820 0.694
Sm 0.500 0.500 0.000
Br 0.157 0.157 0.540
Br 0.289 0.289 0.868
Br 0.490 0.490 0.759
Br 0.510 0.510 0.241
Br 0.711 0.711 0.132
Br 0.843 0.843 0.460

Properties
- D(E_F) (states/eV per cell) = 3.88
- size of the total moment (μB per cell) = 0.00
- volume (Å³/f.u.) = 325.9
- calculated total energy (eV/atom) = -4.35
- raw formation energy (eV per atom) = -1.646

***

8.
This record from the Alexandria database describes crystalline PrSm2Br at its relaxed geometry. The functional is GGA-PBE.

Cell: 11.888 11.888 11.888 Å, 17.17 17.17 17.17°
Sites, in units of the cell vectors:
Pr 0.000 0.000 0.000
Sm 0.099 0.099 0.099
Sm 0.901 0.901 0.901
Br 0.500 0.500 0.500

Properties
- D(E_F) (states/eV per cell) = 6.45
- size of the total moment (μB per cell) = 0.00
- volume (Å³/f.u.) = 127.8
- calculated total energy (eV/atom) = -4.29
- raw formation energy (eV per atom) = -0.316

***

Repeat the fifth record exactly.
This record from the Alexandria database describes crystalline Pr8Zn3SiBr4 at its relaxed geometry. The functional is GGA-PBE.

Cell: 8.845 8.845 8.845 Å, 57.90 57.90 57.90°
Sites, in units of the cell vectors:
Pr 0.245 0.245 0.245
Pr 0.248 0.740 0.740
Pr 0.260 0.260 0.752
Pr 0.260 0.752 0.260
Pr 0.740 0.248 0.740
Pr 0.740 0.740 0.248
Pr 0.752 0.260 0.260
Pr 0.755 0.755 0.755
Zn 0.000 0.000 0.500
Zn 0.000 0.500 0.000
Zn 0.500 0.000 0.000
Si 0.500 0.500 0.500
Br 0.000 0.000 0.000
Br 0.000 0.500 0.500
Br 0.500 0.000 0.500
Br 0.500 0.500 0.000

Properties
- D(E_F) (states/eV per cell) = 13.56
- size of the total moment (μB per cell) = 0.00
- volume (Å³/f.u.) = 465.6
- calculated total energy (eV/atom) = -4.18
- raw formation energy (eV per atom) = -0.791

***

Which of these has the lowest calculated total energy? Pr6Si2Te3Br